MgReBr2: relaxed, PBE-GGA.

Lattice parameters (Å, degrees): 4.650 4.650 8.864 74.79 74.79 90.00
Positions (direct):
Re (0.000, 0.000, 0.000)
Re (0.750, 0.250, 0.500)
Mg (0.500, 0.500, 0.000)
Mg (0.250, 0.750, 0.500)
Br (0.651, 0.125, 0.250)
Br (0.099, 0.625, 0.250)
Br (0.375, 0.349, 0.750)
Br (0.875, 0.901, 0.750)

Results
Its density of states at the Fermi level is 5.41 states/eV/cell. The calculation puts the uncorrected formation energy at 696 meV per atom. The value obtained for the energy relative to the lowest polymorph listed for this composition is 649.6 meV per atom.



Ca2Cd2Hg5: relaxed, PBE-GGA.

Lattice parameters (Å, degrees): 4.960 9.421 11.719 113.70 102.22 90.00
Positions (direct):
Ca (0.112, 0.510, 0.723)
Ca (0.888, 0.787, 0.277)
Ca (0.112, 0.010, 0.723)
Ca (0.888, 0.287, 0.277)
Cd (0.000, 0.899, 0.000)
Cd (0.500, 0.399, 0.000)
Cd (0.500, 0.899, 0.500)
Cd (0.500, 0.399, 0.500)
Hg (0.705, 0.603, 0.909)
Hg (0.295, 0.694, 0.091)
Hg (0.704, 0.103, 0.909)
Hg (0.296, 0.194, 0.091)
Hg (0.582, 0.750, 0.703)
Hg (0.418, 0.047, 0.297)
Hg (0.621, 0.250, 0.703)
Hg (0.379, 0.547, 0.297)
Hg (0.020, 0.148, 0.500)
Hg (0.980, 0.648, 0.500)

Results
Its density of states at the Fermi level is 7.63 states/eV/cell. The value obtained for the formation energy is -249.0 meV/atom. The value obtained for the energy relative to the lowest polymorph listed for this composition is 0.0 meV per atom.



Q: The lowest energy relative to the lowest polymorph listed for this composition belongs to which entry?
A: Ca2Cd2Hg5



Q: What is the energy relative to the lowest polymorph listed for this composition in the first record?
A: 649.6 meV per atom